Entry from the Open Quantum Materials Database: an optimized crystal structure of Co4SnC16O16 (PBE+U).

The space group is F-43c (No. 219) and the conventional cell measures 16.614, 16.614 and 16.614 Å, with angles of 90.00, 90.00 and 90.00 degrees. The asymmetric unit holds Co at (0.091, 0.091, 0.409), Sn at (0.000, 0.000, 0.000), C at (0.006, 0.101, 0.347), C at (0.152, 0.152, 0.348), O at (0.046, 0.113, 0.699) and O at (0.192, 0.192, 0.308).

Its total energy is -7.32 eV per atom. The calculation puts the volume at 4585.7 Å³ per cell.